Ba4CaMo, optimized geometry, DFT PBE; energy of formation = 0.954 eV/atom; N(E_F) = 1.427 states/eV per atom; calculated density = 3.8 g/cm³
1.0
-2.424 -7.079 0.085
-5.505 -2.014 4.651
-6.769 -1.670 -2.716
Ca Ba Mo
1 4 1
Direct
0.750 0.750 0.750 Ca
0.374 0.374 0.374 Ba
0.374 0.877 0.374 Ba
0.877 0.374 0.374 Ba
0.374 0.374 0.877 Ba
0.000 0.000 0.000 Mo

---

BaCa2Mo, optimized geometry, DFT PBE; energy of formation = 0.790 eV/atom; N(E_F) = 1.008 states/eV per atom; calculated density = 3.8 g/cm³
1.0
-3.005 2.665 4.154
-4.793 -2.438 2.116
-0.027 -2.135 5.369
Ca Ba Mo
2 1 1
Direct
0.000 0.000 0.000 Ca
0.250 0.250 0.250 Ca
0.500 0.500 0.500 Ba
0.750 0.750 0.750 Mo

---

BaCaMo2, optimized geometry, DFT PBE; energy of formation = 0.522 eV/atom; N(E_F) = 1.357 states/eV per atom; calculated density = 5.5 g/cm³
1.0
3.392 0.000 0.000
0.000 3.408 0.004
0.000 2.942 9.566
Mo Ba Ca
2 1 1
Direct
0.500 0.305 0.171 Mo
0.000 0.967 0.056 Mo
0.000 0.544 0.446 Ba
0.500 0.684 0.827 Ca